(1)
A plane-wave DFT calculation with PBE was carried out for BaCoRe2 after structural relaxation.

Results
The calculated formation energy is 853 meV per atom. The crystal system is orthorhombic. As for the symmetry: Pmmm. For the offset from the most stable computed form, the calculation gives 357 meV/atom.

Cell: 3.1445 3.1925 7.8460 Å, 90.00 90.00 90.00°
Last column: nearest neighbours and their distance in Å.
Fractional positions:
Ba 0.5000 0.5000 0.2500  4 Ba 3.14-3.19
Co 0.5000 0.5000 0.7500  8 Re 2.54
Re 0.0000 0.0000 0.9025  1 Re 2.39, 4 Co 2.54
Re 0.0000 0.0000 0.5975  1 Re 2.39, 4 Co 2.54

(2)
A plane-wave DFT calculation with PBE was carried out for TlHg2SbPb after structural relaxation.

Results
The crystal system is orthorhombic. As for the symmetry: Cmcm. The formation energy from raw total energies comes out at 0.072 eV per atom.

Cell: 3.4137 10.3085 9.0753 Å, 90.00 90.00 99.53°
Last column: nearest neighbours and their distance in Å.
Fractional positions:
Tl 0.7656 0.5311 0.7500  6 Hg 3.35-3.40, 2 Tl 3.41, 2 Pb 3.62
Tl 0.2344 0.4689 0.2500  6 Hg 3.35-3.40, 2 Tl 3.41, 2 Pb 3.62
Hg 0.1484 0.2968 0.9284  1 Sb 3.09, 3 Hg 3.24-3.41, 3 Tl 3.35-3.40
Hg 0.8516 0.7032 0.0716  1 Sb 3.09, 3 Hg 3.24-3.41, 3 Tl 3.35-3.40
Hg 0.1484 0.2968 0.5716  1 Sb 3.09, 3 Hg 3.24-3.41, 3 Tl 3.35-3.40
Hg 0.8516 0.7032 0.4284  1 Sb 3.09, 3 Hg 3.24-3.41, 3 Tl 3.35-3.40
Sb 0.0000 0.0000 0.0000  2 Hg 3.09, 4 Pb 3.25, 2 Sb 3.41
Sb 0.0000 0.0000 0.5000  2 Hg 3.09, 4 Pb 3.25, 2 Sb 3.41
Pb 0.4227 0.8453 0.7500  4 Sb 3.25, 2 Pb 3.41, 2 Tl 3.62
Pb 0.5773 0.1547 0.2500  4 Sb 3.25, 2 Pb 3.41, 2 Tl 3.62

(3)
A plane-wave DFT calculation with PBE was carried out for Rb2TeI7 after structural relaxation.

Results
The crystal system is tetragonal. As for the symmetry: I4/mmm. The formation energy from raw total energies comes out at -0.617 eV per atom.

Cell: 8.7889 8.7889 9.0999 Å, 61.12 61.12 90.00°
Last column: nearest neighbours and their distance in Å.
Fractional positions:
I 0.0000 0.0000 0.0000  4 I 3.19
I 0.2758 0.2758 0.4483  1 Te 2.98
I 0.7242 0.7242 0.5517  1 Te 2.98
I 0.2567 0.2567 0.0000  1 Te 3.02, 1 I 3.19
I 0.7433 0.7433 0.0000  1 Te 3.02, 1 I 3.19
I 0.7433 0.2567 0.0000  1 Te 3.02, 1 I 3.19
I 0.2567 0.7433 0.0000  1 Te 3.02, 1 I 3.19
Te 0.5000 0.5000 0.0000  6 I 2.98-3.02
Rb 0.7500 0.2500 0.5000  12 I 4.41-4.55
Rb 0.2500 0.7500 0.5000  12 I 4.41-4.55

(4)
A plane-wave DFT calculation with PBE was carried out for UV4W after structural relaxation.

Results
The calculated formation energy is 237 meV per atom. The crystal system is cubic. As for the symmetry: F-43m.

Cell: 5.0817 5.0817 5.0817 Å, 60.00 60.00 60.00°
Last column: nearest neighbours and their distance in Å.
Fractional positions:
U 0.0000 0.0000 0.0000  12 V 2.98, 4 W 3.11
W 0.2500 0.2500 0.2500  12 V 2.98, 4 U 3.11
V 0.6255 0.6255 0.1235  6 V 2.53-2.55
V 0.6255 0.1235 0.6255  6 V 2.53-2.55
V 0.6255 0.6255 0.6255  6 V 2.53-2.55
V 0.1235 0.6255 0.6255  6 V 2.53-2.55

(5)
A plane-wave DFT calculation with PBE was carried out for NaS after structural relaxation.

Results
The crystal system is cubic. As for the symmetry: Pm-3m. The formation energy from raw total energies comes out at -0.450 eV per atom. For the offset from the most stable computed form, the calculation gives 380 meV/atom.

Cell: 3.4017 3.4017 3.4017 Å, 90.00 90.00 90.00°
Last column: nearest neighbours and their distance in Å.
Fractional positions:
Na 0.0000 0.0000 0.0000  8 S 2.95
S 0.5000 0.5000 0.5000  8 Na 2.95

(6)
A plane-wave DFT calculation with PBE was carried out for TbTePd2 after structural relaxation.

Results
The crystal system is tetragonal. As for the symmetry: P4/mmm. The formation energy from raw total energies comes out at -0.749 eV per atom. For the offset from the most stable computed form, the calculation gives 0 meV/atom.

Cell: 4.3224 4.3490 4.3490 Å, 90.00 90.00 90.00°
Last column: nearest neighbours and their distance in Å.
Fractional positions:
Te 0.5000 0.5000 0.5000  8 Pd 3.07, 4 Tb 3.08
Tb 0.5000 0.0000 0.0000  8 Pd 3.07, 4 Te 3.08
Pd 0.0000 0.0000 0.5000  4 Tb 3.07, 4 Te 3.07, 4 Pd 3.08
Pd 0.0000 0.5000 0.0000  4 Tb 3.07, 4 Te 3.07, 4 Pd 3.08

no.,total energy (eV per atom),magnetic moment (μB/cell)
1,-7.63,1.022
2,-2.09,0.000
3,-2.21,0.000
4,-9.88,0.000
5,-3.17,0.000
6,-5.29,0.000